Record 1
Here is TiSi4Bi2 after structural relaxation from Alexandria. Energies are from PBE-GGA.

a b c (Å): 4.8237 4.8237 14.9406
angles (deg): 90.00 90.00 90.00
With the nearest neighbours (Å) after each atom.
Space group I4/mmm (No. 139)
Symmetry-distinct sites (fractional):
Ti (0.0000, 0.0000, 0.0000)  6 Si 2.41-2.49
Si (0.0000, 0.0000, 0.1668)  1 Ti 2.49, 1 Bi 2.72
Si (0.0000, 0.5000, 0.0000)  2 Ti 2.41
Bi (0.0000, 0.0000, 0.3487)  1 Si 2.72

Output
Magnetic moment ... 0.000 μB per formula unit
Crystal system ... tetragonal
ΔE_f (raw) ... 0.63 eV/atom

=====

Record 2
Here is BeAs2Se after structural relaxation from Alexandria. Energies are from PBE-GGA.

a b c (Å): 3.6274 5.8915 9.2631
angles (deg): 90.00 90.00 90.00
With the nearest neighbours (Å) after each atom.
Space group Cmm2 (No. 35)
Symmetry-distinct sites (fractional):
Be (0.0000, 0.0000, 0.0000)  2 Se 2.04
As (0.0000, 0.0000, 0.5024)  2 As 2.48
As (0.0000, 0.5000, 0.3204)  2 As 2.48
Se (0.0000, 0.5000, 0.8990)  2 Be 2.04

Output
Magnetic moment ... 0.000 μB per formula unit
Crystal system ... orthorhombic
ΔE_f (raw) ... 0.28 eV/atom

=====

Record 3
Here is Tb12YTm6 after structural relaxation from Alexandria. Energies are from PBE-GGA.

a b c (Å): 15.0119 15.0119 10.0057
angles (deg): 90.00 90.00 120.00
With the nearest neighbours (Å) after each atom.
Space group R-3m (No. 166, hexagonal axes)
Symmetry-distinct sites (fractional):
Tb (0.0000, 0.3890, 0.0000)  4 Tm 3.28-3.40, 5 Tb 3.33-3.64
Tb (0.0726, 0.1452, 0.7917)  1 Tm 3.08, 2 Tb 3.27
Y (0.0000, 0.0000, 0.5000)  6 Tb 3.48
Tm (0.0539, 0.5270, 0.7126)  5 Tb 3.08-3.40

Output
DFT formation energy ... 0.4406 eV/atom
Magnetic moment ... 0.000 μB per formula unit
Crystal system ... trigonal

=====

Record 4
Here is NiRu2 after structural relaxation from Alexandria. Energies are from PBE-GGA.

a b c (Å): 3.7286 11.2953 3.7108
angles (deg): 90.00 90.00 90.00
With the nearest neighbours (Å) after each atom.
Space group Cmcm (No. 63)
Symmetry-distinct sites (fractional):
Ni (0.0000, 0.0831, 0.2500)  10 Ru 2.61-2.69, 2 Ni 2.64
Ru (0.0000, 0.2451, 0.7500)  4 Ni 2.61-2.69, 8 Ru 2.61-2.68
Ru (0.0000, 0.4163, 0.2500)  6 Ru 2.61-2.68, 6 Ni 2.63-2.65

Output
DFT formation energy ... 0.1162 eV/atom
Magnetic moment ... 0.000 μB per formula unit
Crystal system ... orthorhombic

=====

Record 5
Here is Zn2FeCo after structural relaxation from Alexandria. Energies are from PBE-GGA.

a b c (Å): 2.6233 2.6233 25.5831
angles (deg): 90.00 90.00 120.00
With the nearest neighbours (Å) after each atom.
Space group R-3m (No. 166, hexagonal axes)
Symmetry-distinct sites (fractional):
Zn (0.0000, 0.0000, 0.2486)  3 Co 2.59, 6 Zn 2.62, 3 Fe 2.64
Fe (0.0000, 0.0000, 0.0000)  6 Fe 2.62, 6 Zn 2.64
Co (0.0000, 0.0000, 0.5000)  6 Zn 2.59, 6 Co 2.62

Output
DFT formation energy ... 0.0585 eV/atom
Magnetic moment ... 4.096 μB per formula unit
Crystal system ... trigonal

=====

Record 6
Here is Nd2Dy7Tl2 after structural relaxation from Alexandria. Energies are from PBE-GGA.

a b c (Å): 8.5762 9.8060 8.5928
angles (deg): 90.00 108.59 90.00
With the nearest neighbours (Å) after each atom.
Space group C2/m (No. 12)
Symmetry-distinct sites (fractional):
Nd (0.0000, 0.1800, 0.0000)  2 Tl 3.28, 6 Dy 3.42-3.52, 1 Nd 3.53
Dy (0.0000, 0.5000, 0.5000)  2 Tl 3.07, 2 Dy 3.36
Dy (0.1372, 0.5000, 0.9121)  2 Dy 3.18-3.36, 1 Tl 3.40, 4 Nd 3.45-3.52
Dy (0.2025, 0.1796, 0.6744)  3 Tl 3.27-3.49, 1 Nd 3.42, 2 Dy 3.52-3.62
Tl (0.1252, 0.0000, 0.3383)  6 Dy 3.07-3.40, 2 Nd 3.28

Output
DFT formation energy ... -0.0762 eV/atom
Magnetic moment ... 0.000 μB per formula unit
Crystal system ... monoclinic

=====

Record 7
Here is KTlHgSb after structural relaxation from Alexandria. Energies are from PBE-GGA.

a b c (Å): 7.9021 7.9021 7.9021
angles (deg): 90.00 90.00 90.00
With the nearest neighbours (Å) after each atom.
Space group F-43m (No. 216)
Symmetry-distinct sites (fractional):
K (0.0000, 0.0000, 0.0000)  4 Tl 3.42, 4 Hg 3.42
Tl (0.2500, 0.2500, 0.2500)  4 K 3.42, 4 Sb 3.42
Hg (0.2500, 0.2500, 0.7500)  4 K 3.42, 4 Sb 3.42
Sb (0.0000, 0.0000, 0.5000)  4 Hg 3.42, 4 Tl 3.42

Output
Magnetic moment ... 0.000 μB per formula unit
Crystal system ... cubic
ΔE_f (raw) ... -0.16 eV/atom

=====

Record 8
Here is HfAlZn2N after structural relaxation from Alexandria. Energies are from PBE-GGA.

a b c (Å): 5.1534 5.1534 5.3891
angles (deg): 90.00 90.00 90.00
With the nearest neighbours (Å) after each atom.
Space group P4/mmm (No. 123)
Symmetry-distinct sites (fractional):
Hf (0.0000, 0.0000, 0.0000)  4 Zn 2.58, 2 Al 2.69
Al (0.0000, 0.0000, 0.5000)  2 Hf 2.69
Zn (0.0000, 0.5000, 0.0000)  2 Hf 2.58
N (0.5000, 0.5000, 0.5000)  4 Al 3.64, 8 Zn 3.73

Output
Magnetic moment ... 0.000 μB per formula unit
Crystal system ... tetragonal
ΔE_f (raw) ... 2.13 eV/atom

=====

Record 9
Here is TlHgIr after structural relaxation from Alexandria. Energies are from PBE-GGA.

a b c (Å): 12.7992 3.0925 3.1982
angles (deg): 90.00 90.51 90.00
With the nearest neighbours (Å) after each atom.
Space group Cm (No. 8)
Symmetry-distinct sites (fractional):
Tl (0.0000, 0.0000, 0.0000)  4 Ir 2.88, 4 Tl 3.09-3.20, 2 Hg 3.13
Hg (0.2874, 0.0000, 0.0096)  4 Ir 2.89, 4 Hg 3.09-3.20, 2 Tl 3.13
Ir (0.1429, 0.5000, 0.5053)  4 Tl 2.88, 4 Hg 2.89, 4 Ir 3.09-3.20

Output
DFT formation energy ... 0.4802 eV/atom
Magnetic moment ... 0.000 μB per formula unit
Crystal system ... monoclinic

=====

Record 10
Here is Sm2DyTe2 after structural relaxation from Alexandria. Energies are from PBE-GGA.

a b c (Å): 4.3386 4.3386 17.0581
angles (deg): 90.00 90.00 90.00
With the nearest neighbours (Å) after each atom.
Space group I4/mmm (No. 139)
Symmetry-distinct sites (fractional):
Sm (0.0000, 0.0000, 0.1288)  5 Te 3.18-3.31
Dy (0.0000, 0.0000, 0.5000)  2 Te 3.03
Te (0.0000, 0.0000, 0.3227)  1 Dy 3.03, 5 Sm 3.18-3.31

Output
Magnetic moment ... 0.000 μB per formula unit
Crystal system ... tetragonal
ΔE_f (raw) ... -1.00 eV/atom

=====

Record 11
Here is ThFe5C2 after structural relaxation from Alexandria. Energies are from PBE-GGA.

a b c (Å): 3.4471 6.4023 8.3626
angles (deg): 90.00 90.00 90.00
With the nearest neighbours (Å) after each atom.
Space group Immm (No. 71)
Symmetry-distinct sites (fractional):
Th (0.0000, 0.0000, 0.0000)  4 C 2.78, 12 Fe 2.98-3.05
Fe (0.0000, 0.1858, 0.3355)  3 C 2.17-2.19, 3 Fe 2.38-2.39
Fe (0.0000, 0.5000, 0.0000)  2 C 2.00
C (0.0000, 0.5000, 0.2397)  7 Fe 2.00-2.19

Output
DFT formation energy ... 0.0611 eV/atom
Magnetic moment ... 7.908 μB per formula unit
Crystal system ... orthorhombic

=====

Record 12
Here is AlFe6 after structural relaxation from Alexandria. Energies are from PBE-GGA.

a b c (Å): 5.9230 5.9230 5.9230
angles (deg): 90.00 90.00 90.00
With the nearest neighbours (Å) after each atom.
Space group Im-3m (No. 229)
Symmetry-distinct sites (fractional):
Al (0.0000, 0.0000, 0.0000)  24 Fe 3.31
Fe (0.0000, 0.2500, 0.5000)  4 Fe 2.09

Output
DFT formation energy ... 1.0606 eV/atom
Magnetic moment ... 0.000 μB per formula unit
Crystal system ... cubic

=====

Record 13
Here is KSmIn2I6 after structural relaxation from Alexandria. Energies are from PBE-GGA.

a b c (Å): 8.6312 8.6312 22.6463
angles (deg): 90.00 90.00 120.00
With the nearest neighbours (Å) after each atom.
Space group R3 (No. 146, hexagonal axes)
Symmetry-distinct sites (fractional):
K (0.0000, 0.0000, 0.0000)  6 I 3.51-3.63
Sm (0.0000, 0.0000, 0.4922)  6 I 3.09-3.13
In (0.0000, 0.0000, 0.2981)  6 I 3.46-3.57
In (0.0000, 0.0000, 0.8057)  6 I 3.47-3.52
I (0.0156, 0.3836, 0.2321)  1 Sm 3.09
I (0.0509, 0.6686, 0.0727)  1 Sm 3.13, 2 In 3.46-3.47

Output
Magnetic moment ... 0.000 μB per formula unit
Crystal system ... trigonal
ΔE_f (raw) ... -1.04 eV/atom

=====

Record 14
Here is SrPIrS2 after structural relaxation from Alexandria. Energies are from PBE-GGA.

a b c (Å): 4.5409 4.5409 5.7318
angles (deg): 90.00 90.00 90.00
With the nearest neighbours (Å) after each atom.
Space group P4/mmm (No. 123)
Symmetry-distinct sites (fractional):
Sr (0.0000, 0.0000, 0.0000)  2 P 2.87
P (0.0000, 0.0000, 0.5000)  4 S 2.27
Ir (0.5000, 0.5000, 0.0000)  4 Sr 3.21
S (0.0000, 0.5000, 0.5000)  2 P 2.27

Output
Magnetic moment ... 1.827 μB per formula unit
Crystal system ... tetragonal
ΔE_f (raw) ... 0.73 eV/atom

=====

Record 15
Here is Cs3Ho3ZrSe8 after structural relaxation from Alexandria. Energies are from PBE-GGA.

a b c (Å): 8.2713 8.2713 25.6203
angles (deg): 90.00 90.00 120.00
With the nearest neighbours (Å) after each atom.
Space group R-3m (No. 166, hexagonal axes)
Symmetry-distinct sites (fractional):
Cs (0.0000, 0.5000, 0.0000)  6 Se 3.60
Ho (0.0000, 0.5000, 0.5000)  6 Se 2.86-2.88
Zr (0.0000, 0.0000, 0.5000)  6 Se 2.76
Se (0.0000, 0.0000, 0.2281)  3 Ho 2.86
Se (0.0132, 0.5066, 0.2266)  1 Zr 2.76, 2 Ho 2.88

Output
Magnetic moment ... 0.000 μB per formula unit
Crystal system ... trigonal
ΔE_f (raw) ... -1.66 eV/atom

=====

Record 16
Here is Tb3Pr6Dy2Th after structural relaxation from Alexandria. Energies are from PBE-GGA.

a b c (Å): 6.3118 10.9232 12.0148
angles (deg): 90.00 100.10 90.00
With the nearest neighbours (Å) after each atom.
Space group C2/m (No. 12)
Symmetry-distinct sites (fractional):
Tb (0.0000, 0.0000, 0.0000)  6 Pr 3.63-3.65, 6 Tb 3.64
Tb (0.0000, 0.3333, 0.0000)  6 Pr 3.63-3.65, 6 Tb 3.64
Pr (0.2470, 0.5000, 0.2512)  6 Pr 3.60-3.66, 1 Th 3.61, 2 Dy 3.62, 3 Tb 3.63-3.65
Pr (0.2477, 0.3350, 0.7493)  6 Pr 3.60-3.66, 1 Th 3.61, 2 Dy 3.63, 3 Tb 3.63-3.65
Dy (0.0000, 0.1667, 0.5000)  6 Pr 3.62-3.63, 3 Th 3.64, 3 Dy 3.64
Th (0.0000, 0.5000, 0.5000)  6 Pr 3.61, 6 Dy 3.64

Output
DFT formation energy ... 0.0329 eV/atom
Magnetic moment ... 0.001 μB per formula unit
Crystal system ... monoclinic